! AlBN2 | Alexandria via LeMat-Bulk | PBE-GGA | relaxed; values from VASP
&SYSTEM
  ibrav = 0, nat = 4, ntyp = 3
/
ATOMIC_SPECIES
Al 26.98 Al.upf
B 10.81 B.upf
N 14.01 N.upf
CELL_PARAMETERS angstrom
-2.473 0.697 -1.146
-1.154 -2.330 1.074
-1.006 2.082 3.435
ATOMIC_POSITIONS angstrom
Al -2.316 0.225 1.682
B 0.000 0.000 0.000
N -2.031 1.993 2.141
N -0.788 -0.728 1.258
! DOS(E_F) ... 0.000 states/eV/cell
! Volume ... 32.77 Å³/cell
! Relative energy among the computed polymorphs ... 0.1166 eV per atom
! ρ ... 3.33 Mg/m³
! Magnetic moment ... 0.00 μB per formula unit